Density functional theory data (GGA+U) for crystalline BaMn2GeO8 at its relaxed geometry.

Unit cell a=5.1314 b=5.1314 c=7.5062 alpha=90.00 beta=90.00 gamma=120.00
Fractional coordinates of all 12 atoms:
Mn 0.6667 0.3333 0.2841
Ge 0.0000 0.0000 0.5000
O 0.7299 0.0422 0.3441
Ba 0.0000 0.0000 0.0000
O 0.9578 0.6877 0.3441
O 0.3123 0.2701 0.3441
O 0.6667 0.3333 0.0614
O 0.2701 0.9578 0.6559
O 0.3333 0.6667 0.9386
Mn 0.3333 0.6667 0.7159
O 0.6877 0.7299 0.6559
O 0.0422 0.3123 0.6559

Output
Space-group type: P-3 (147)
Total energy in Ha/atom: -0.239